The following is a DFT calculation (PBE) of a relaxed SmSnRu crystal.

a = 3.366 Å, b = 3.366 Å, c = 6.244 Å
α = 105.64°, β = 105.64°, γ = 90.00°
Atoms (fractional coordinates):
Ru 0.269 0.269 0.538
Sn 0.646 0.646 0.293
Sm 0.934 0.934 0.869

## Properties
**SG**: I4mm
**Spin magnetization**: 0.00 μB per atom
**Density of states at the Fermi level**: 1.6 states/eV per cell
**Crystal system**: tetragonal
**Total DFT energy (no corrections)**: -19.05 eV per formula unit


The following is a DFT calculation (PBE) of a relaxed NaTeS2Cl crystal.

a = 5.122 Å, b = 5.122 Å, c = 5.399 Å
α = 90.00°, β = 90.00°, γ = 90.00°
Atoms (fractional coordinates):
Na 0.500 0.500 0.500
S 0.000 0.500 0.000
S 0.500 0.000 0.000
Te 0.000 0.000 0.000
Cl 0.000 0.000 0.500

## Properties
**SG**: P4/mmm
**Spin magnetization**: 0.00 μB per atom
**Density of states at the Fermi level**: 1.5 states/eV per cell
**Excess energy over the best structure of this formula in the dataset**: 0 meV per atom
**Crystal system**: tetragonal
**Total DFT energy (no corrections)**: -15.95 eV per formula unit
**ΔE_f (raw)**: -0.277 eV/atom


> What is the formula in the second record?

NaTeS2Cl


> The lowest density of states at the Fermi level belongs to which entry?

NaTeS2Cl


> Among the records above, which one has the lowest total DFT energy (no corrections)?

SmSnRu